Here is LiTlBiF6 after structural relaxation from Alexandria via LeMat-Bulk. Energies are from GGA-PBE.

Summary:
* energy: -4.413 eV/atom
* formation energy without anion corrections: -2.258 eV/atom

extended XYZ file:
```
9
Lattice="5.7006 0.0000 0.0000 -2.8503 4.9368 0.0000 0.0000 0.0000 5.2807" Properties=species:S:1:pos:R:3 pbc="T T T"
Li 0.0000 0.0000 0.0000
Tl 0.0000 3.2912 2.6403
Bi 2.8503 1.6456 0.0000
F 1.7742 0.0350 1.1790
F 0.9174 1.5190 4.1017
F 3.9264 0.0350 4.1017
F 1.9935 3.3828 1.1790
F 4.7832 1.5190 1.1790
F 3.7071 3.3828 4.1017
```